Record 1
Here is a geometry-optimized TaNb6W structure from the Alexandria database. Energies are from PBE.

Cell lengths 4.6339, 5.7339, 5.7339 Å; angles 109.70, 90.00, 90.00 degrees
Sites, in units of the cell vectors:
Nb 0.5000 0.8777 0.1223
Nb 0.5000 0.3771 0.1275
Nb 0.0000 0.6250 0.3750
Nb 0.0000 0.1295 0.3794
Nb 0.5000 0.8725 0.6229
Nb 0.0000 0.6206 0.8705
W 0.5000 0.3726 0.6274
Ta 0.0000 0.1247 0.8753

Summary:
**VASP energy**: -10.66 eV/atom
**Fermi-level density of states**: 13.7 states/eV/f.u.
**Energy relative to the elements**: -0.01 eV per atom
**Energy relative to the lowest polymorph listed for this composition**: 0 meV/atom



Record 2
Here is a geometry-optimized Cd6HgPb2 structure from the Alexandria database. Energies are from PBE.

Cell lengths 3.2793, 8.6616, 8.6616 Å; angles 70.70, 82.00, 82.00 degrees
Sites, in units of the cell vectors:
Cd 0.7965 0.3425 0.0253
Cd 0.2035 0.9747 0.6575
Cd 0.7965 0.0253 0.3425
Cd 0.5000 0.2722 0.7278
Cd 0.5000 0.7278 0.2722
Cd 0.2035 0.6575 0.9747
Hg 0.0000 0.0000 0.0000
Pb 0.8349 0.6357 0.6357
Pb 0.1651 0.3643 0.3643

Summary:
**VASP energy**: -1.43 eV/atom
**Fermi-level density of states**: 2.6 states/eV/f.u.
**Energy relative to the elements**: 0.04 eV per atom



Record 3
Here is a geometry-optimized Sr2NdSn4Pt3 structure from the Alexandria database. Energies are from PBE.

Cell lengths 4.5690, 4.5690, 12.4546 Å; angles 90.00, 90.00, 90.00 degrees
Sites, in units of the cell vectors:
Sn 0.0000 0.0000 0.0000
Sn 0.5000 0.5000 0.0000
Sn 0.5000 0.0000 0.6667
Sn 0.0000 0.5000 0.3333
Nd 0.5000 0.5000 0.5000
Pt 0.5000 0.0000 0.8808
Pt 0.0000 0.0000 0.5000
Pt 0.0000 0.5000 0.1192
Sr 0.5000 0.0000 0.2305
Sr 0.0000 0.5000 0.7695

Summary:
**VASP energy**: -4.96 eV/atom
**Fermi-level density of states**: 4.7 states/eV/f.u.
**Energy relative to the elements**: -0.73 eV per atom



Record 4
Here is a geometry-optimized YCuNiOs2 structure from the Alexandria database. Energies are from PBE.

Cell lengths 4.5565, 4.3318, 4.5565 Å; angles 90.00, 90.00, 90.00 degrees
Each line ends with the local moment (μB).
Sites, in units of the cell vectors:
Ni 0.0000 0.5000 0.0000  0.15
Y 0.5000 0.5000 0.5000  -0.01
Os 0.0000 0.0000 0.5000  0.44
Os 0.5000 0.0000 0.0000  0.27
Cu 0.0000 0.0000 0.0000  0.08

Summary:
**VASP energy**: -6.77 eV/atom
**Fermi-level density of states**: 9.3 states/eV/f.u.
**Energy relative to the elements**: 0.99 eV per atom



Record 5
Here is a geometry-optimized Pm2Co3Ge4Pd structure from the Alexandria database. Energies are from PBE.

Cell lengths 4.1562, 4.1562, 9.8359 Å; angles 90.00, 90.00, 90.00 degrees
Each line ends with the local moment (μB).
Sites, in units of the cell vectors:
Co 0.0000 0.5000 0.1217  -0.03
Co 0.5000 0.0000 0.8783  -0.03
Co 0.0000 0.0000 0.5000  0.67
Ge 0.5000 0.0000 0.6409  -0.01
Ge 0.5000 0.5000 0.0000  0.00
Ge 0.0000 0.5000 0.3591  -0.01
Ge 0.0000 0.0000 0.0000  0.00
Pd 0.5000 0.5000 0.5000  0.04
Pm 0.0000 0.5000 0.7593  0.00
Pm 0.5000 0.0000 0.2407  0.00

Summary:
**VASP energy**: -6.07 eV/atom
**Fermi-level density of states**: 7.7 states/eV/f.u.
**Energy relative to the elements**: -0.62 eV per atom



Record 6
Here is a geometry-optimized YTm2Cd structure from the Alexandria database. Energies are from PBE.

Cell lengths 3.5694, 10.0978, 6.5815 Å; angles 90.00, 74.27, 89.99 degrees
Sites, in units of the cell vectors:
Tm 0.3692 0.5333 0.2617
Tm 0.3690 0.9667 0.2617
Tm 0.6310 0.0333 0.7383
Tm 0.6308 0.4667 0.7383
Y 0.0374 0.7500 0.9252
Y 0.9626 0.2500 0.0748
Cd 0.2443 0.2500 0.5113
Cd 0.7557 0.7500 0.4887

Summary:
**VASP energy**: -4.21 eV/atom
**Fermi-level density of states**: 4.1 states/eV/f.u.
**Energy relative to the elements**: -0.13 eV per atom
**Energy relative to the lowest polymorph listed for this composition**: 31 meV/atom



Record 7
Here is a geometry-optimized MoRuI2N structure from the Alexandria database. Energies are from PBE.

Cell lengths 5.6349, 5.6349, 3.7953 Å; angles 90.00, 90.00, 90.00 degrees
Each line ends with the local moment (μB).
Sites, in units of the cell vectors:
Ru 0.5000 0.5000 0.5000  2.50
Mo 0.0000 0.0000 0.0000  1.08
I 0.0000 0.5000 0.0000  0.07
I 0.5000 0.0000 0.0000  0.07
N 0.0000 0.0000 0.5000  -0.09

Summary:
**VASP energy**: -5.30 eV/atom
**Fermi-level density of states**: 4.7 states/eV/f.u.
**Energy relative to the lowest polymorph listed for this composition**: 37 meV/atom
**E_form (uncorrected)**: 1.00 eV/atom



Record 8
Here is a geometry-optimized PaH3Ru structure from the Alexandria database. Energies are from PBE.

Cell lengths 3.9052, 3.9052, 4.4645 Å; angles 64.03, 64.08, 90.01 degrees
Sites, in units of the cell vectors:
H 0.7904 0.5945 0.1246
H 0.6177 0.9214 0.4694
H 0.1180 0.4211 0.4694
Ru 0.0347 0.8379 0.6361
Pa 0.4470 0.2502 0.8116

Summary:
**VASP energy**: -5.93 eV/atom
**Fermi-level density of states**: 1.7 states/eV/f.u.
**Energy relative to the lowest polymorph listed for this composition**: 208 meV/atom



Record 9
Here is a geometry-optimized ErZrPb structure from the Alexandria database. Energies are from PBE.

Cell lengths 3.8710, 3.8710, 5.7971 Å; angles 109.50, 109.50, 90.00 degrees
Sites, in units of the cell vectors:
Pb 0.6233 0.6233 0.2466
Zr 0.2764 0.2764 0.5527
Er 0.9504 0.9504 0.9007

Summary:
**VASP energy**: -5.77 eV/atom
**Fermi-level density of states**: 5.1 states/eV/f.u.
**Energy relative to the elements**: -0.16 eV per atom
**Energy relative to the lowest polymorph listed for this composition**: 232 meV/atom



Record 10
Here is a geometry-optimized CsZn2CdF8 structure from the Alexandria database. Energies are from PBE.

Cell lengths 5.6686, 5.6686, 8.5761 Å; angles 70.70, 70.70, 60.00 degrees
Each line ends with the local moment (μB).
Sites, in units of the cell vectors:
F 0.1795 0.1795 0.4614  0.19
F 0.6145 0.2612 0.1598  0.08
F 0.9645 0.6145 0.1598  0.08
F 0.2612 0.9645 0.1598  0.08
F 0.3855 0.7388 0.8402  0.08
F 0.0355 0.3855 0.8402  0.08
F 0.7388 0.0355 0.8402  0.08
F 0.8205 0.8205 0.5386  0.19
Cs 0.5000 0.5000 0.5000  0.00
Zn 0.2589 0.2589 0.2233  0.09
Zn 0.7411 0.7411 0.7767  0.09
Cd 0.0000 0.0000 0.0000  0.07

Summary:
**VASP energy**: -3.73 eV/atom
**Fermi-level density of states**: 13.3 states/eV/f.u.
**E_form (uncorrected)**: -2.12 eV/atom



Record 11
Here is a geometry-optimized Mg2Be2PdAu5 structure from the Alexandria database. Energies are from PBE.

Cell lengths 3.5170, 9.5991, 9.5991 Å; angles 90.00, 90.00, 90.00 degrees
Sites, in units of the cell vectors:
Mg 0.0000 0.8244 0.6756
Mg 0.0000 0.1756 0.3244
Mg 0.0000 0.6756 0.1756
Mg 0.0000 0.3244 0.8244
Au 0.5000 0.5765 0.7082
Au 0.5000 0.2082 0.0765
Au 0.5000 0.4235 0.2918
Au 0.5000 0.2918 0.5765
Au 0.5000 0.0765 0.7918
Au 0.5000 0.9235 0.2082
Au 0.5000 0.7918 0.9235
Au 0.5000 0.7082 0.4235
Au 0.5000 0.5000 0.0000
Au 0.5000 0.0000 0.5000
Be 0.0000 0.8762 0.3762
Be 0.0000 0.1238 0.6238
Be 0.0000 0.6238 0.8762
Be 0.0000 0.3762 0.1238
Pd 0.0000 0.5000 0.5000
Pd 0.0000 0.0000 0.0000

Summary:
**VASP energy**: -3.55 eV/atom
**Fermi-level density of states**: 2.0 states/eV/f.u.
**Energy relative to the elements**: -0.32 eV per atom



Record 12
Here is a geometry-optimized Mn2CuP2 structure from the Alexandria database. Energies are from PBE.

Cell lengths 6.4927, 6.4927, 2.6924 Å; angles 90.00, 90.00, 90.00 degrees
Each line ends with the local moment (μB).
Sites, in units of the cell vectors:
Mn 0.1462 0.6462 0.5000  0.42
Mn 0.6462 0.8538 0.5000  0.43
Mn 0.3538 0.1462 0.5000  0.43
Mn 0.8538 0.3538 0.5000  0.42
P 0.1491 0.3509 0.0000  -0.03
P 0.8509 0.6491 0.0000  -0.03
P 0.3509 0.8509 0.0000  -0.03
P 0.6491 0.1491 0.0000  -0.03
Cu 0.5000 0.5000 0.0000  0.00
Cu 0.0000 0.0000 0.0000  0.00

Summary:
**VASP energy**: -6.88 eV/atom
**Fermi-level density of states**: 4.2 states/eV/f.u.
**Energy relative to the elements**: -0.23 eV per atom



Number 1: M_tot 0.0 μB/f.u.. Number 2: M_tot 0.0 μB/f.u.. Number 3: M_tot 0.0 μB/f.u.. Number 4: M_tot 1.0 μB/f.u.. Number 5: M_tot 0.6 μB/f.u.. Number 6: M_tot 0.0 μB/f.u.. Number 7: M_tot 4.0 μB/f.u.. Number 8: M_tot 0.0 μB/f.u.. Number 9: M_tot 0.0 μB/f.u.. Number 10: M_tot 1.2 μB/f.u.. Number 11: M_tot 0.0 μB/f.u.. Number 12: M_tot 0.8 μB/f.u..